Below is a relaxed Li3HoBi2Se6 crystal, with properties calculated at the PBE-GGA level.

Calculated values
**Formation energy without anion corrections**: -1046 meV/atom
**ρ**: 6.2 g cm⁻³

Cell: 7.141 7.141 6.988 Å, 99.76 99.76 120.12°
Sites, in units of the cell vectors:
Bi: 0.335 0.665 0.000
Bi: 0.665 0.335 0.000
Se: 0.086 0.411 0.259
Se: 0.411 0.086 0.259
Se: 0.914 0.589 0.741
Se: 0.760 0.760 0.260
Se: 0.240 0.240 0.740
Se: 0.589 0.914 0.741
Li: 0.179 0.821 0.500
Li: 0.500 0.500 0.500
Li: 0.821 0.179 0.500
Ho: 0.000 0.000 0.000